TbDy2HfN4 | PBE | relaxed

Space group: P2/m
Uncorrected formation energy in eV/f.u.: -13.93
Density of states at the Fermi level in states/eV per cell: 1.07
Final energy in eV per atom: -8.878

a b c (Å): 5.888 3.392 5.894
angles (deg): 90.00 109.20 90.00
Fractional positions:
Tb (0.000, 0.000, 0.000)
Dy (0.500, 0.000, 0.500)
Dy (0.500, 0.500, 0.000)
Hf (0.000, 0.500, 0.500)
N (0.233, 0.000, 0.732)
N (0.240, 0.500, 0.262)
N (0.760, 0.500, 0.738)
N (0.767, 0.000, 0.268)

Dy2HfThN4 | PBE | relaxed

Space group: P2/m
Uncorrected formation energy in eV/f.u.: -13.12
Density of states at the Fermi level in states/eV per cell: 2.76
Final energy in eV per atom: -9.125

a b c (Å): 5.952 3.449 6.023
angles (deg): 90.00 109.17 90.00
Fractional positions:
Dy (0.000, 0.000, 0.000)
Dy (0.000, 0.500, 0.500)
Hf (0.500, 0.000, 0.500)
Th (0.500, 0.500, 0.000)
N (0.259, 0.000, 0.730)
N (0.269, 0.500, 0.272)
N (0.731, 0.500, 0.728)
N (0.741, 0.000, 0.270)